[1]
# Cs3MgGe2Br9, optimized geometry, DFT PBE
data_Cs3MgGe2Br9
_chemical_formula_sum 'Cs3 Mg1 Ge2 Br9'
_space_group_name_H-M_alt 'P -3 m 1'
_space_group_IT_number 164
_space_group_name_Hall '-P 3 2"'
_cell_length_a 7.8681
_cell_length_b 7.8681
_cell_length_c 9.6337
_cell_angle_alpha 90.00
_cell_angle_beta 90.00
_cell_angle_gamma 120.00
loop_
_atom_site_label
_atom_site_fract_x
_atom_site_fract_y
_atom_site_fract_z
Cs1 0.0000 0.0000 0.0000
Cs2 0.3333 0.6667 0.6625
Mg1 0.0000 0.0000 0.5000
Ge1 0.3333 0.6667 0.1681
Br1 0.0000 0.5000 0.0000
Br2 0.1629 0.3258 0.3372
# N(E_F)	0.000	states/eV/atom
# M_tot	0.00	μB per cell
# uncorrected energy	-3.1542	eV per atom


[2]
# MgTa2BAs, optimized geometry, DFT PBE
data_MgTa2BAs
_chemical_formula_sum 'Mg1 Ta2 B1 As1'
_space_group_name_H-M_alt 'P 4/m m m'
_space_group_IT_number 123
_space_group_name_Hall '-P 4 2'
_cell_length_a 4.823
_cell_length_b 4.823
_cell_length_c 4.406
_cell_angle_alpha 90.00
_cell_angle_beta 90.00
_cell_angle_gamma 90.00
loop_
_atom_site_label
_atom_site_fract_x
_atom_site_fract_y
_atom_site_fract_z
Mg1 0.000 0.000 0.000
Ta1 0.000 0.500 0.000
B1 0.500 0.500 0.500
As1 0.000 0.000 0.500
# energy of formation	2.510	eV per atom
# N(E_F)	1.180	states/eV/atom
# M_tot	0.00	μB per cell
# uncorrected energy	-4.8149	eV per atom


[3]
# Li2EuZn, optimized geometry, DFT PBE
data_Li2EuZn
_chemical_formula_sum 'Li2 Eu1 Zn1'
_space_group_name_H-M_alt 'P 4/m m m'
_space_group_IT_number 123
_space_group_name_Hall '-P 4 2'
_cell_length_a 3.535
_cell_length_b 3.535
_cell_length_c 7.284
_cell_angle_alpha 90.00
_cell_angle_beta 90.00
_cell_angle_gamma 90.00
loop_
_atom_site_label
_atom_site_fract_x
_atom_site_fract_y
_atom_site_fract_z
Li1 0.000 0.000 0.177
Eu1 0.500 0.500 0.500
Zn1 0.500 0.500 0.000
# relative energy among the computed polymorphs	0	meV/atom
# energy of formation	-0.006	eV per atom
# N(E_F)	0.313	states/eV/atom
# M_tot	7.48	μB per cell
# uncorrected energy	-3.8501	eV per atom


[4]
# Dy5Al2Se2, optimized geometry, DFT PBE
data_Dy5Al2Se2
_chemical_formula_sum 'Dy20 Al8 Se8'
_space_group_name_H-M_alt 'C m c e'
_space_group_IT_number 64
_space_group_name_Hall '-C 2ac 2'
_cell_length_a 14.937
_cell_length_b 7.711
_cell_length_c 7.747
_cell_angle_alpha 90.00
_cell_angle_beta 90.00
_cell_angle_gamma 90.00
loop_
_atom_site_label
_atom_site_fract_x
_atom_site_fract_y
_atom_site_fract_z
Dy1 0.000 0.000 0.000
Dy2 0.140 0.170 0.337
Al1 0.000 0.123 0.621
Se1 0.198 0.000 0.000
# N(E_F)	1.058	states/eV/atom
# M_tot	0.00	μB per cell
# uncorrected energy	-5.0963	eV per atom


[5]
# AcCu4Si4, optimized geometry, DFT PBE
data_AcCu4Si4
_chemical_formula_sum 'Ac2 Cu8 Si8'
_space_group_name_H-M_alt 'P 42/n m c'
_space_group_IT_number 137
_cell_length_a 6.040
_cell_length_b 6.040
_cell_length_c 8.139
_cell_angle_alpha 90.00
_cell_angle_beta 90.00
_cell_angle_gamma 90.00
loop_
_space_group_symop_operation_xyz
'x,y,z'
'-x,-y,-z'
'-y+1/2,x,z+1/2'
'y+1/2,-x,-z+1/2'
'-x+1/2,-y+1/2,z'
'x+1/2,y+1/2,-z'
'y,-x+1/2,z+1/2'
'-y,x+1/2,-z+1/2'
'x+1/2,-y,-z'
'-x+1/2,y,z'
'-y,-x,-z+1/2'
'y,x,z+1/2'
'-x,y+1/2,-z'
'x,-y+1/2,z'
'y+1/2,x+1/2,-z+1/2'
'-y+1/2,-x+1/2,z+1/2'
loop_
_atom_site_label
_atom_site_fract_x
_atom_site_fract_y
_atom_site_fract_z
Ac1 0.250 0.750 0.250
Cu1 0.004 0.750 0.642
Si1 0.058 0.250 0.064
# N(E_F)	0.273	states/eV/atom
# M_tot	0.00	μB per cell
# uncorrected energy	-4.8476	eV per atom


[6]
# ZrGa2SiO, optimized geometry, DFT PBE
data_ZrGa2SiO
_chemical_formula_sum 'Zr1 Ga2 Si1 O1'
_space_group_name_H-M_alt 'P 4/m m m'
_space_group_IT_number 123
_space_group_name_Hall '-P 4 2'
_cell_length_a 5.202
_cell_length_b 5.202
_cell_length_c 3.272
_cell_angle_alpha 90.00
_cell_angle_beta 90.00
_cell_angle_gamma 90.00
loop_
_atom_site_label
_atom_site_fract_x
_atom_site_fract_y
_atom_site_fract_z
Zr1 0.000 0.000 0.000
Ga1 0.000 0.500 0.500
Si1 0.500 0.500 0.500
O1 0.500 0.500 0.000
# N(E_F)	0.613	states/eV/atom
# M_tot	0.00	μB per cell
# uncorrected energy	-5.2450	eV per atom